Below is a relaxed structure of NaDyPO, with properties calculated at the PBE-GGA level.

```
NaDyPO
1.0
-1.530 -1.860 2.670
-3.738 -4.538 -5.305
4.537 -3.735 -0.002
Dy Na O P
2 2 2 2
Direct
0.000 0.681 0.423
0.000 0.319 0.923
0.500 0.921 0.029
0.500 0.079 0.529
0.500 0.820 0.392
0.500 0.180 0.892
0.000 0.335 0.410
0.000 0.665 0.910
```

Summary:
Space group ... Pmc2_1 (26)
Distance to the lowest polymorph of the same formula ... 82 meV per atom
Calculated total energy ... -22.4 eV per formula unit

***

Below is a relaxed structure of Sm2Ho2BCl5, with properties calculated at the PBE-GGA level.

```
Sm2Ho2BCl5
1.0
8.717 -1.921 0.000
8.717 1.921 0.000
-1.919 0.000 7.594
B Cl Ho Sm
1 5 2 2
Direct
0.500 0.500 0.000
0.833 0.833 0.167
0.161 0.161 0.351
0.500 0.500 0.500
0.839 0.839 0.649
0.167 0.167 0.833
0.999 0.999 0.216
0.001 0.001 0.784
0.650 0.650 0.089
0.350 0.350 0.911
```

Summary:
Space group ... C2/m (12)
Calculated total energy ... -51.1 eV per formula unit

***

Below is a relaxed structure of LiTmSO, with properties calculated at the PBE-GGA level.

```
LiTmSO
1.0
5.396 0.000 0.000
0.000 5.399 0.000
0.000 -2.533 9.434
Li O S Tm
4 4 4 4
Direct
0.908 0.465 0.415
0.304 0.016 0.422
0.804 0.984 0.578
0.408 0.535 0.585
0.403 0.250 0.000
0.903 0.750 0.000
0.903 0.250 0.001
0.403 0.750 0.999
0.890 0.892 0.331
0.386 0.394 0.332
0.886 0.606 0.668
0.390 0.108 0.669
0.153 0.553 0.114
0.652 0.052 0.115
0.152 0.948 0.885
0.653 0.447 0.886
```

Summary:
Space group ... P2_1 (4)
Distance to the lowest polymorph of the same formula ... 69 meV per atom
Calculated total energy ... -25.0 eV per formula unit

***

Below is a relaxed structure of KRb2TaSe4, with properties calculated at the PBE-GGA level.

```
KRb2TaSe4
1.0
2.808 -3.561 5.603
-7.035 -1.390 -0.734
3.393 -2.120 -5.996
K Rb Se Ta
1 2 4 1
Direct
0.500 0.500 0.000
0.500 0.000 0.500
0.000 0.500 0.500
0.340 0.007 0.000
0.007 0.340 0.000
0.993 0.993 0.332
0.660 0.660 0.668
0.000 0.000 0.000
```

Summary:
Space group ... I-42m (121)
Calculated total energy ... -37.8 eV per formula unit

***

Below is a relaxed structure of BiMo2, with properties calculated at the PBE-GGA level.

```
BiMo2
1.0
5.308 -0.464 1.306
2.092 3.003 4.086
1.467 -2.411 4.704
Bi Mo
2 4
Direct
0.000 0.000 0.000
0.250 0.250 0.250
0.625 0.625 0.125
0.625 0.125 0.625
0.125 0.625 0.625
0.625 0.625 0.625
```

Summary:
Space group ... Fd-3m (227)
Distance to the lowest polymorph of the same formula ... 0 meV per atom
Calculated total energy ... -24.0 eV per formula unit

***

Below is a relaxed structure of MgHg2Te3, with properties calculated at the PBE-GGA level.

```
MgHg2Te3
1.0
7.678 -2.049 0.000
7.678 2.049 0.000
0.000 0.000 10.898
Hg Mg Te
4 2 6
Direct
0.000 0.000 0.000
0.463 0.463 0.250
0.000 0.000 0.500
0.537 0.537 0.750
0.762 0.762 0.250
0.238 0.238 0.750
0.327 0.327 0.069
0.098 0.098 0.250
0.327 0.327 0.431
0.673 0.673 0.569
0.902 0.902 0.750
0.673 0.673 0.931
```

Summary:
Space group ... Cmcm (63)
Distance to the lowest polymorph of the same formula ... 303 meV per atom
Calculated total energy ... -12.1 eV per formula unit

***

Below is a relaxed structure of PrSc2S3, with properties calculated at the PBE-GGA level.

```
PrSc2S3
1.0
-1.282 -1.378 -3.280
3.710 -0.004 0.732
-0.794 -8.706 3.968
Pr S Sc
1 3 2
Direct
0.000 0.000 0.000
0.333 0.667 0.196
0.000 0.000 0.500
0.667 0.333 0.804
0.667 0.333 0.343
0.333 0.667 0.657
```

Summary:
Space group ... P-3m1 (164)
Calculated total energy ... -41.2 eV per formula unit

***

Below is a relaxed structure of Zn4B6S13, with properties calculated at the PBE-GGA level.

```
Zn4B6S13
1.0
5.110 2.849 5.622
-6.329 5.029 -0.700
-2.621 -7.355 2.206
B S Zn
6 13 4
Direct
0.750 0.500 0.250
0.500 0.750 0.250
0.750 0.250 0.500
0.250 0.750 0.500
0.500 0.250 0.750
0.250 0.500 0.750
0.000 0.000 0.000
0.743 0.458 0.000
0.458 0.743 0.000
0.715 0.257 0.257
0.257 0.715 0.257
0.542 0.542 0.285
0.743 0.000 0.458
0.000 0.743 0.458
0.542 0.285 0.542
0.285 0.542 0.542
0.257 0.257 0.715
0.458 0.000 0.743
0.000 0.458 0.743
0.706 0.000 0.000
0.000 0.706 0.000
0.294 0.294 0.294
0.000 0.000 0.706
```

Summary:
Space group ... I-43m (217)
Calculated total energy ... -109.0 eV per formula unit

***

Below is a relaxed structure of PrTlCd, with properties calculated at the PBE-GGA level.

```
PrTlCd
1.0
0.000 3.581 3.581
3.581 0.000 3.581
3.581 3.581 0.000
Cd Pr Tl
1 1 1
Direct
0.250 0.250 0.250
0.750 0.750 0.750
0.000 0.000 0.000
```

Summary:
Space group ... F-43m (216)
Calculated total energy ... -8.8 eV per formula unit

***

Below is a relaxed structure of HoEr2Hg, with properties calculated at the PBE-GGA level.

```
HoEr2Hg
1.0
3.400 -5.913 0.000
3.400 5.913 0.000
0.000 0.000 5.363
Er Hg Ho
4 2 2
Direct
0.173 0.342 0.250
0.658 0.827 0.250
0.342 0.173 0.750
0.827 0.658 0.750
0.667 0.333 0.250
0.333 0.667 0.750
0.174 0.826 0.250
0.826 0.174 0.750
```

Summary:
Space group ... Cmcm (63)
DFT formation energy ... -0.17 eV/atom
Distance to the lowest polymorph of the same formula ... 34 meV per atom
Calculated total energy ... -14.7 eV per formula unit

***

Below is a relaxed structure of NdC6N9, with properties calculated at the PBE-GGA level.

```
NdC6N9
1.0
6.199 1.650 2.424
0.559 -1.629 -6.638
-1.553 9.426 -2.443
C N Nd
12 18 2
Direct
0.001 0.285 0.049
0.715 0.999 0.049
0.445 0.271 0.250
0.729 0.555 0.250
0.001 0.285 0.451
0.715 0.999 0.451
0.285 0.001 0.549
0.999 0.715 0.549
0.271 0.445 0.750
0.555 0.729 0.750
0.285 0.001 0.951
0.999 0.715 0.951
0.158 0.842 0.012
0.148 0.411 0.094
0.589 0.852 0.094
0.356 0.092 0.250
0.530 0.470 0.250
0.908 0.644 0.250
0.148 0.411 0.406
0.589 0.852 0.406
0.158 0.842 0.488
0.842 0.158 0.512
0.411 0.148 0.594
0.852 0.589 0.594
0.092 0.356 0.750
0.470 0.530 0.750
0.644 0.908 0.750
0.411 0.148 0.906
0.852 0.589 0.906
0.842 0.158 0.988
0.288 0.712 0.250
0.712 0.288 0.750
```

Summary:
Space group ... Cmcm (63)
Calculated total energy ... -134.7 eV per formula unit

***

Below is a relaxed structure of RbPIrO, with properties calculated at the PBE-GGA level.

```
RbPIrO
1.0
3.793 0.000 0.000
0.000 6.449 0.000
0.000 0.000 7.369
Ir O P Rb
2 2 2 2
Direct
0.000 0.156 0.468
0.000 0.844 0.968
0.500 0.248 0.443
0.500 0.752 0.943
0.000 0.903 0.266
0.000 0.097 0.766
0.500 0.346 0.077
0.500 0.654 0.577
```

Summary:
Space group ... Pmc2_1 (26)
Distance to the lowest polymorph of the same formula ... 47 meV per atom
Calculated total energy ... -21.9 eV per formula unit